1.
This record from the Alexandria database describes MnNb2AsIr at its PBEsol-relaxed geometry. The functional is SCAN.

Values from the calculation:
* symmetry: P4/mmm, No. 123
* E_form: 0.76 eV per atom

a b c (Å): 4.518 4.518 4.433
angles (deg): 90.00 90.00 90.00
Positions (direct):
1 Mn 0.000 0.000 0.000
2 Nb 0.000 0.500 0.000
3 Nb 0.500 0.000 0.000
4 As 0.500 0.500 0.500
5 Ir 0.000 0.000 0.500

2.
This record from the Alexandria database describes MnTcAsIr2 at its PBEsol-relaxed geometry. The functional is SCAN.

Values from the calculation:
* symmetry: P4/mmm, No. 123
* E_form: 1.16 eV per atom

a b c (Å): 4.693 4.693 4.565
angles (deg): 90.00 90.00 90.00
Positions (direct):
1 Mn 0.000 0.000 0.000
2 Tc 0.500 0.500 0.500
3 As 0.500 0.500 0.000
4 Ir 0.000 0.500 0.500
5 Ir 0.500 0.000 0.500

3.
This record from the Alexandria database describes Mo2AsIr at its PBEsol-relaxed geometry. The functional is SCAN.

Values from the calculation:
* symmetry: P4/mmm, No. 123
* E_form: -0.16 eV per atom
* E above lowest polymorph: 0 meV/atom

a b c (Å): 2.918 2.918 6.818
angles (deg): 90.00 90.00 90.00
Positions (direct):
1 Mo 0.000 0.000 0.233
2 Mo 0.000 0.000 0.767
3 As 0.500 0.500 0.000
4 Ir 0.500 0.500 0.500